Run P
## LaNi3O (GGA+U)

Data for crystalline LaNi3O at its relaxed geometry.

Output
The space-group type is Pm-3m, No. 221. As for the magnetization: 1.7 μB/f.u.

Unit cell a=4.2489 b=4.2489 c=4.2489 alpha=90.00 beta=90.00 gamma=90.00
Element x y z (fractional)
La (0.0000, 0.0000, 0.0000)
Ni (0.0000, 0.5000, 0.5000)
Ni (0.5000, 0.0000, 0.5000)
Ni (0.5000, 0.5000, 0.0000)
O (0.5000, 0.5000, 0.5000)

---

Run Q
## LaNi3O (GGA+U)

Data for crystalline LaNi3O at its relaxed geometry.

Output
The space-group type is Pm-3m, No. 221. As for the magnetization: 0.0 μB/f.u.

Unit cell a=4.5518 b=4.5518 c=4.5518 alpha=90.00 beta=90.00 gamma=90.00
Element x y z (fractional)
La (0.0000, 0.0000, 0.0000)
Ni (0.0000, 0.0000, 0.5000)
Ni (0.0000, 0.5000, 0.0000)
Ni (0.5000, 0.0000, 0.0000)
O (0.5000, 0.5000, 0.5000)

---

Preferred: run P; penalty for the next structure: 1940 meV/atom.